Cr2HgRh | the Alexandria database | PBE | optimized geometry; energy of formation = 0.3050 eV per atom; symmetry = R3m (160); uncorrected energy = -6.420 eV per atom; Fermi-level density of states = 0.750 states/eV/atom; density = 11.26 g/cm³
1.0
8.584 -0.010 -0.006
8.108 2.820 -0.006
8.108 1.365 2.468
Cr Hg Rh
2 1 1
Cartesian
24.646 4.150 2.441
6.584 1.109 0.652
12.454 2.097 1.234
18.317 3.084 1.814